VASP calculation (PBE) on a relaxed structure of LiP3Ru5.

Computed properties:
As for the crystal system: orthorhombic. The calculation puts the total energy at -7.4419 eV/atom.

abc: 6.5235 6.5235 13.8321
angles: 90.00 90.00 153.72
Closest atoms and distances in Å follow each position.
Element x y z (fractional)
Li 0.1661 0.8339 0.7500  6 P 2.90-3.07, 2 Li 2.97, 4 Ru 3.10
Li 0.8339 0.1661 0.2500  6 P 2.90-3.07, 2 Li 2.97, 4 Ru 3.10
P 0.1381 0.8619 0.2500  6 Ru 2.42-2.46
P 0.3695 0.6305 0.0586  4 Ru 2.25-2.41
P 0.3695 0.6305 0.4414  4 Ru 2.25-2.41
P 0.6305 0.3695 0.5586  4 Ru 2.25-2.41
P 0.6305 0.3695 0.9414  4 Ru 2.25-2.41
P 0.8619 0.1381 0.7500  6 Ru 2.42-2.46
Ru 0.0000 0.0000 0.0000  4 P 2.37
Ru 0.0000 0.0000 0.5000  4 P 2.37
Ru 0.1942 0.8058 0.0801  2 P 2.25-2.46
Ru 0.1942 0.8058 0.4199  2 P 2.25-2.46
Ru 0.4762 0.5238 0.6596  3 P 2.41-2.42, 3 Ru 2.50-2.68
Ru 0.4762 0.5238 0.8404  3 P 2.41-2.42, 3 Ru 2.50-2.68
Ru 0.5238 0.4762 0.1596  3 P 2.41-2.42, 3 Ru 2.50-2.68
Ru 0.5238 0.4762 0.3404  3 P 2.41-2.42, 3 Ru 2.50-2.68
Ru 0.8058 0.1942 0.5801  2 P 2.25-2.46
Ru 0.8058 0.1942 0.9199  2 P 2.25-2.46

VASP calculation (PBE) on a relaxed structure of ThZn2Ag4.

Computed properties:
As for the crystal system: tetragonal. The calculation puts the total energy at -3.1636 eV/atom.

abc: 8.0558 8.0558 4.2086
angles: 90.00 90.00 90.00
Closest atoms and distances in Å follow each position.
Element x y z (fractional)
Th 0.0000 0.0000 0.0000  6 Zn 3.19-3.30, 12 Ag 3.54
Th 0.5000 0.5000 0.5000  6 Zn 3.19-3.30, 12 Ag 3.54
Zn 0.2102 0.2102 0.5000  6 Ag 2.64-2.68
Zn 0.2898 0.7102 0.0000  6 Ag 2.64-2.68
Zn 0.7102 0.2898 0.0000  6 Ag 2.64-2.68
Zn 0.7898 0.7898 0.5000  6 Ag 2.64-2.68
Ag 0.0905 0.6589 0.5000  3 Zn 2.64-2.68, 2 Ag 2.86-2.95
Ag 0.1589 0.4095 0.0000  3 Zn 2.64-2.68, 2 Ag 2.86-2.95
Ag 0.3411 0.9095 0.5000  3 Zn 2.64-2.68, 2 Ag 2.86-2.95
Ag 0.4095 0.1589 0.0000  3 Zn 2.64-2.68, 2 Ag 2.86-2.95
Ag 0.5905 0.8411 0.0000  3 Zn 2.64-2.68, 2 Ag 2.86-2.95
Ag 0.6589 0.0905 0.5000  3 Zn 2.64-2.68, 2 Ag 2.86-2.95
Ag 0.8411 0.5905 0.0000  3 Zn 2.64-2.68, 2 Ag 2.86-2.95
Ag 0.9095 0.3411 0.5000  3 Zn 2.64-2.68, 2 Ag 2.86-2.95

| no. | formation energy from the elements (kJ/mol of formula units) |
| --- | --- |
| 1 | -237 |
| 2 | -75 |